Version i
Density functional theory data (GGA-PBE) for CsPb3Br after structural relaxation.

a b c (Å): 6.4679 6.4679 6.4679
angles (deg): 90.00 90.00 90.00
With the nearest neighbours (Å) after each atom.
Fractional coordinates of all 5 atoms:
Cs 0.0000 0.0000 0.0000  6 Pb 3.23
Pb 0.0000 0.0000 0.5000  2 Cs 3.23
Pb 0.0000 0.5000 0.0000  2 Cs 3.23
Pb 0.5000 0.0000 0.0000  2 Cs 3.23
Br 0.5000 0.5000 0.5000  12 Pb 4.57

Calculated values
V: 54.1 Å³ per atom
spin magnetization: 0.00 Bohr magnetons per cell

Version ii
Density functional theory data (GGA-PBE) for CsPb3Br after structural relaxation.

a b c (Å): 6.0037 6.0037 6.0037
angles (deg): 90.00 90.00 90.00
With the nearest neighbours (Å) after each atom.
Fractional coordinates of all 5 atoms:
Cs 0.0000 0.0000 0.0000  12 Pb 4.25
Pb 0.0000 0.5000 0.5000  2 Br 3.00
Pb 0.5000 0.0000 0.5000  2 Br 3.00
Pb 0.5000 0.5000 0.0000  2 Br 3.00
Br 0.5000 0.5000 0.5000  6 Pb 3.00

Calculated values
V: 43.3 Å³ per atom
spin magnetization: 0.00 Bohr magnetons per cell

From most stable to least stable, the computed energies give version ii, version i.

Version i
Density functional theory data (GGA-PBE) for Cs2Pd2Br7 after structural relaxation.

a b c (Å): 9.6997 9.6997 4.8369
angles (deg): 90.59 90.59 116.02
With the nearest neighbours (Å) after each atom.
Fractional coordinates of all 11 atoms:
Cs 0.2172 0.7828 0.0000  8 Br 3.79-4.11
Cs 0.7828 0.2172 0.0000  8 Br 3.79-4.11
Pd 0.2565 0.2565 0.5137  5 Br 2.49-2.64
Pd 0.7435 0.7435 0.4863  5 Br 2.49-2.64
Br 0.0000 0.0000 0.5000  2 Pd 2.64
Br 0.1141 0.4168 0.5137  1 Pd 2.49
Br 0.3282 0.3282 0.0168  2 Pd 2.53
Br 0.4168 0.1141 0.5137  1 Pd 2.49
Br 0.5832 0.8859 0.4863  1 Pd 2.49
Br 0.6718 0.6718 0.9832  2 Pd 2.53
Br 0.8859 0.5832 0.4863  1 Pd 2.49

Calculated values
V: 37.2 Å³ per atom
spin magnetization: 0.00 Bohr magnetons per cell

Version ii
Density functional theory data (GGA-PBE) for Cs2Pd2Br7 after structural relaxation.

a b c (Å): 9.3889 9.3889 5.3826
angles (deg): 98.13 98.13 125.00
With the nearest neighbours (Å) after each atom.
Fractional coordinates of all 11 atoms:
Cs 0.1658 0.8342 0.0000  10 Br 3.71-4.01
Cs 0.8342 0.1658 0.0000  10 Br 3.71-4.01
Pd 0.3207 0.3207 0.6603  6 Br 2.50-2.71
Pd 0.6793 0.6793 0.3397  6 Br 2.50-2.71
Br 0.0000 0.0000 0.5000  2 Pd 2.65
Br 0.1595 0.4594 0.6499  1 Pd 2.50
Br 0.3524 0.3524 0.1750  3 Pd 2.70-2.71
Br 0.4594 0.1595 0.6499  1 Pd 2.50
Br 0.5406 0.8405 0.3501  1 Pd 2.50
Br 0.6476 0.6476 0.8250  3 Pd 2.70-2.71
Br 0.8405 0.5406 0.3501  1 Pd 2.50

Calculated values
V: 33.6 Å³ per atom
spin magnetization: 0.00 Bohr magnetons per cell

From most stable to least stable, the computed energies give version ii, version i.

Version i
Density functional theory data (GGA-PBE) for Cs2PdBr5 after structural relaxation.

a b c (Å): 7.6857 7.6857 5.4140
angles (deg): 90.00 90.00 90.00
With the nearest neighbours (Å) after each atom.
Fractional coordinates of all 8 atoms:
Cs 0.0000 0.5000 0.0000  10 Br 3.84
Cs 0.5000 0.0000 0.0000  10 Br 3.84
Pd 0.0000 0.0000 0.5000  6 Br 2.52-2.71
Br 0.0000 0.0000 0.0000  2 Pd 2.71
Br 0.2315 0.2315 0.5000  1 Pd 2.52
Br 0.2315 0.7685 0.5000  1 Pd 2.52
Br 0.7685 0.2315 0.5000  1 Pd 2.52
Br 0.7685 0.7685 0.5000  1 Pd 2.52

Calculated values
V: 40.0 Å³ per atom
spin magnetization: 0.00 Bohr magnetons per cell

Version ii
Density functional theory data (GGA-PBE) for Cs2PdBr5 after structural relaxation.

a b c (Å): 7.9181 7.9181 10.4120
angles (deg): 90.00 90.00 90.00
With the nearest neighbours (Å) after each atom.
Fractional coordinates of all 16 atoms:
Cs 0.0000 0.5000 0.0000  10 Br 3.82-3.97
Cs 0.0000 0.5000 0.5000  10 Br 3.82-3.97
Cs 0.5000 0.0000 0.0000  10 Br 3.82-3.97
Cs 0.5000 0.0000 0.5000  10 Br 3.82-3.97
Pd 0.0000 0.0000 0.2690  5 Br 2.50-2.63
Pd 0.5000 0.5000 0.7690  5 Br 2.50-2.63
Br 0.0000 0.0000 0.5217  1 Pd 2.63
Br 0.2222 0.2222 0.2479  1 Pd 2.50
Br 0.2222 0.7778 0.2479  1 Pd 2.50
Br 0.2778 0.2778 0.7479  1 Pd 2.50
Br 0.2778 0.7222 0.7479  1 Pd 2.50
Br 0.5000 0.5000 0.0217  1 Pd 2.63
Br 0.7222 0.2778 0.7479  1 Pd 2.50
Br 0.7222 0.7222 0.7479  1 Pd 2.50
Br 0.7778 0.2222 0.2479  1 Pd 2.50
Br 0.7778 0.7778 0.2479  1 Pd 2.50

Calculated values
V: 40.8 Å³ per atom
spin magnetization: 2.02 Bohr magnetons per cell

From most stable to least stable, the computed energies give version i, version ii.

Version i
Density functional theory data (GGA-PBE) for CsPd3Br after structural relaxation.

a b c (Å): 5.0306 5.0306 5.0306
angles (deg): 90.00 90.00 90.00
With the nearest neighbours (Å) after each atom.
Fractional coordinates of all 5 atoms:
Cs 0.0000 0.0000 0.0000  12 Pd 3.56
Pd 0.0000 0.5000 0.5000  2 Br 2.52
Pd 0.5000 0.0000 0.5000  2 Br 2.52
Pd 0.5000 0.5000 0.0000  2 Br 2.52
Br 0.5000 0.5000 0.5000  6 Pd 2.52

Calculated values
V: 25.5 Å³ per atom
spin magnetization: 0.00 Bohr magnetons per cell

Version ii
Density functional theory data (GGA-PBE) for CsPd3Br after structural relaxation.

a b c (Å): 5.3122 5.3122 5.3122
angles (deg): 90.00 90.00 90.00
With the nearest neighbours (Å) after each atom.
Fractional coordinates of all 5 atoms:
Cs 0.0000 0.0000 0.0000  6 Pd 2.66
Pd 0.0000 0.0000 0.5000  2 Cs 2.66
Pd 0.0000 0.5000 0.0000  2 Cs 2.66
Pd 0.5000 0.0000 0.0000  2 Cs 2.66
Br 0.5000 0.5000 0.5000  12 Pd 3.76

Calculated values
V: 30.0 Å³ per atom
spin magnetization: 0.00 Bohr magnetons per cell

From most stable to least stable, the computed energies give version i, version ii.